[1]
Below is crystalline RbLu2CuTeS3 at its relaxed geometry, with properties calculated at the GGA-PBE level.

Unit cell a=4.032 b=13.920 c=14.065 alpha=90.00 beta=90.00 gamma=90.00
Space group Cmcm (No. 63)
Symmetry-distinct sites (fractional):
Rb  0.000  0.133  0.250
Lu  0.000  0.366  0.051
Cu  0.000  0.171  0.750
Te  0.000  0.441  0.250
S  0.000  0.000  0.000
S  0.000  0.252  0.603

**VASP energy**: -0.188 Ha/atom
**Theoretical density**: 6.08 g cm⁻³

[2]
Below is crystalline RbLu2CuTe3S at its relaxed geometry, with properties calculated at the GGA-PBE level.

Unit cell a=4.235 b=14.832 c=14.760 alpha=90.00 beta=90.00 gamma=90.00
Space group Cmcm (No. 63)
Symmetry-distinct sites (fractional):
Rb  0.000  0.094  0.250
Lu  0.000  0.368  0.079
Cu  0.000  0.155  0.750
Te  0.000  0.000  0.000
Te  0.000  0.268  0.611
S  0.000  0.423  0.250

**VASP energy**: -0.169 Ha/atom
**Theoretical density**: 6.55 g cm⁻³

[3]
Below is crystalline RbLu2Cu3Te4S at its relaxed geometry, with properties calculated at the GGA-PBE level.

Unit cell a=4.250 b=15.450 c=17.418 alpha=90.00 beta=90.00 gamma=90.00
Space group Cmcm (No. 63)
Symmetry-distinct sites (fractional):
Rb  0.000  0.074  0.250
Lu  0.000  0.194  0.603
Cu  0.000  0.330  0.250
Cu  0.000  0.418  0.523
Te  0.000  0.167  0.070
Te  0.000  0.443  0.125
S  0.000  0.238  0.750

**VASP energy**: -0.159 Ha/atom
**Theoretical density**: 6.79 g cm⁻³

[4]
Below is crystalline RbLu2CuSe4 at its relaxed geometry, with properties calculated at the GGA-PBE level.

Unit cell a=4.072 b=14.126 c=14.290 alpha=90.00 beta=90.00 gamma=90.00
Space group Cmcm (No. 63)
Symmetry-distinct sites (fractional):
Rb  0.000  0.112  0.250
Lu  0.000  0.366  0.065
Cu  0.000  0.165  0.750
Se  0.000  0.000  0.000
Se  0.000  0.261  0.606
Se  0.000  0.430  0.250

**VASP energy**: -0.181 Ha/atom
**Theoretical density**: 6.58 g cm⁻³

[5]
Below is crystalline Rb2Lu4Cu4Se9 at its relaxed geometry, with properties calculated at the GGA-PBE level.

Unit cell a=14.393 b=4.077 c=16.425 alpha=90.00 beta=109.15 gamma=90.00
Space group C2/m (No. 12)
Symmetry-distinct sites (fractional):
Rb  0.031  0.000  0.272
Lu  0.154  0.500  0.556
Lu  0.230  0.000  0.103
Cu  0.072  0.500  0.966
Cu  0.247  0.000  0.731
Se  0.000  0.000  0.500
Se  0.108  0.500  0.126
Se  0.141  0.000  0.924
Se  0.152  0.500  0.724
Se  0.204  0.500  0.401

**VASP energy**: -0.174 Ha/atom
**Theoretical density**: 6.70 g cm⁻³

[6]
Below is crystalline RbLu2CuTeSe3 at its relaxed geometry, with properties calculated at the GGA-PBE level.

Unit cell a=4.147 b=14.312 c=14.623 alpha=90.00 beta=90.00 gamma=90.00
Space group Cmcm (No. 63)
Symmetry-distinct sites (fractional):
Rb  0.000  0.128  0.250
Lu  0.000  0.367  0.057
Cu  0.000  0.168  0.750
Te  0.000  0.438  0.250
Se  0.000  0.000  0.000
Se  0.000  0.257  0.604

**VASP energy**: -0.175 Ha/atom
**Theoretical density**: 6.61 g cm⁻³

[7]
Below is crystalline RbLu2Cu3Te4Se at its relaxed geometry, with properties calculated at the GGA-PBE level.

Unit cell a=4.270 b=15.351 c=17.605 alpha=90.00 beta=90.00 gamma=90.00
Space group Cmcm (No. 63)
Symmetry-distinct sites (fractional):
Rb  0.000  0.068  0.250
Lu  0.000  0.192  0.598
Cu  0.000  0.335  0.250
Cu  0.000  0.416  0.522
Te  0.000  0.167  0.072
Te  0.000  0.444  0.124
Se  0.000  0.244  0.750

**VASP energy**: -0.156 Ha/atom
**Theoretical density**: 7.00 g cm⁻³

[8]
Below is crystalline RbLu2Cu3TeSe4 at its relaxed geometry, with properties calculated at the GGA-PBE level.

Unit cell a=4.127 b=14.510 c=17.244 alpha=90.00 beta=90.00 gamma=90.00
Space group Cmcm (No. 63)
Symmetry-distinct sites (fractional):
Rb  0.000  0.051  0.250
Lu  0.000  0.189  0.586
Cu  0.000  0.351  0.250
Cu  0.000  0.415  0.532
Te  0.000  0.251  0.750
Se  0.000  0.169  0.072
Se  0.000  0.439  0.114

**VASP energy**: -0.165 Ha/atom
**Theoretical density**: 6.88 g cm⁻³

[9]
Below is crystalline RbLu2CuTeSe3 at its relaxed geometry, with properties calculated at the GGA-PBE level.

Unit cell a=4.167 b=14.500 c=14.314 alpha=90.00 beta=90.00 gamma=90.00
Space group Cmcm (No. 63)
Symmetry-distinct sites (fractional):
Rb  0.000  0.106  0.250
Lu  0.000  0.357  0.068
Cu  0.000  0.165  0.750
Te  0.000  0.000  0.000
Se  0.000  0.264  0.609
Se  0.000  0.425  0.250

**VASP energy**: -0.176 Ha/atom
**Theoretical density**: 6.63 g cm⁻³

[10]
Below is crystalline Rb2Lu4Cu4Te9 at its relaxed geometry, with properties calculated at the GGA-PBE level.

Unit cell a=15.290 b=4.341 c=17.491 alpha=90.00 beta=108.51 gamma=90.00
Space group C2/m (No. 12)
Symmetry-distinct sites (fractional):
Rb  0.036  0.000  0.273
Lu  0.154  0.500  0.558
Lu  0.227  0.000  0.100
Cu  0.077  0.500  0.975
Cu  0.245  0.000  0.734
Te  0.000  0.000  0.500
Te  0.103  0.500  0.130
Te  0.137  0.000  0.921
Te  0.148  0.500  0.727
Te  0.202  0.500  0.399

**VASP energy**: -0.156 Ha/atom
**Theoretical density**: 6.86 g cm⁻³

[11]
Below is crystalline RbLu2Cu3Te5 at its relaxed geometry, with properties calculated at the GGA-PBE level.

Unit cell a=4.323 b=15.357 c=17.940 alpha=90.00 beta=90.00 gamma=90.00
Space group Cmcm (No. 63)
Symmetry-distinct sites (fractional):
Rb  0.000  0.057  0.250
Lu  0.000  0.190  0.591
Cu  0.000  0.343  0.250
Cu  0.000  0.416  0.525
Te  0.000  0.166  0.074
Te  0.000  0.248  0.750
Te  0.000  0.443  0.119

**VASP energy**: -0.153 Ha/atom
**Theoretical density**: 7.05 g cm⁻³

[12]
Below is crystalline RbLu2CuTe4 at its relaxed geometry, with properties calculated at the GGA-PBE level.

Unit cell a=4.348 b=15.054 c=15.351 alpha=90.00 beta=90.00 gamma=90.00
Space group Cmcm (No. 63)
Symmetry-distinct sites (fractional):
Rb  0.000  0.114  0.250
Lu  0.000  0.367  0.066
Cu  0.000  0.164  0.750
Te  0.000  0.000  0.000
Te  0.000  0.264  0.608
Te  0.000  0.433  0.250

**VASP energy**: -0.160 Ha/atom
**Theoretical density**: 6.67 g cm⁻³

Repeat the tenth record exactly.
Below is crystalline Rb2Lu4Cu4Te9 at its relaxed geometry, with properties calculated at the GGA-PBE level.

Unit cell a=15.290 b=4.341 c=17.491 alpha=90.00 beta=108.51 gamma=90.00
Space group C2/m (No. 12)
Symmetry-distinct sites (fractional):
Rb  0.036  0.000  0.273
Lu  0.154  0.500  0.558
Lu  0.227  0.000  0.100
Cu  0.077  0.500  0.975
Cu  0.245  0.000  0.734
Te  0.000  0.000  0.500
Te  0.103  0.500  0.130
Te  0.137  0.000  0.921
Te  0.148  0.500  0.727
Te  0.202  0.500  0.399

**VASP energy**: -0.156 Ha/atom
**Theoretical density**: 6.86 g cm⁻³

Please write out number 1 again, unchanged.
Below is crystalline RbLu2CuTeS3 at its relaxed geometry, with properties calculated at the GGA-PBE level.

Unit cell a=4.032 b=13.920 c=14.065 alpha=90.00 beta=90.00 gamma=90.00
Space group Cmcm (No. 63)
Symmetry-distinct sites (fractional):
Rb  0.000  0.133  0.250
Lu  0.000  0.366  0.051
Cu  0.000  0.171  0.750
Te  0.000  0.441  0.250
S  0.000  0.000  0.000
S  0.000  0.252  0.603

**VASP energy**: -0.188 Ha/atom
**Theoretical density**: 6.08 g cm⁻³